Density functional theory data (PBE) for ZrCoHgAs after structural relaxation.

The structure in POSCAR format:
```
ZrCoHgAs
1.0
0.000 3.308 3.308
3.308 0.000 3.308
3.308 3.308 0.000
Co Hg Zr As
1 1 1 1
Direct
0.750 0.750 0.750
0.250 0.250 0.250
0.500 0.500 0.500
0.000 0.000 0.000
```

Computed properties:
**Magnetization**: 0.001 μB per atom
**SG**: F-43m
**E**: -20.0 eV for the cell shown
**Crystal system**: cubic